# Ti3CoO

A relaxed structure of Ti3CoO (PBE+U, Alexandria via LeMat-Bulk).

Results
- Fermi-level density of states (states/eV/f.u.) = 3.7
- magnetic moment (μB per cell) = 0.00
- V (A^3/atom) = 13.1
- electronic total energy (eV per cell) = -37.951

Cell: 4.0315 4.0315 4.0315 Å, 90.00 90.00 90.00°
Last column: nearest neighbours and their distance in Å.
Fractional coordinates of all 5 atoms:
Co  0.5000  0.5000  0.5000  12 Ti 2.85
O  0.0000  0.0000  0.0000  6 Ti 2.02
Ti  0.0000  0.5000  0.0000  2 O 2.02
Ti  0.0000  0.0000  0.5000  2 O 2.02
Ti  0.5000  0.0000  0.0000  2 O 2.02